1.
! MgBe3Ru, single point on PBEsol structure, DFT SCAN; values from VASP
! * calculated formation energy: 0.289 eV per atom
&SYSTEM
  ibrav = 0, nat = 5, ntyp = 3
/
ATOMIC_SPECIES
Ru 101.07 Ru.upf
Mg 24.30 Mg.upf
Be 9.01 Be.upf
CELL_PARAMETERS angstrom
-3.849 -0.390 1.558
1.381 -2.867 2.695
0.820 3.004 2.775
ATOMIC_POSITIONS crystal
Ru 0.000 0.000 0.000
Mg 0.500 0.500 0.500
Be 0.500 0.000 0.000
Be 0.000 0.500 0.000
Be 0.000 0.000 0.500

---

2.
! Mn2CoRe, single point on PBEsol structure, DFT SCAN; values from VASP
! * calculated formation energy: 0.013 eV per atom
&SYSTEM
  ibrav = 0, nat = 4, ntyp = 3
/
ATOMIC_SPECIES
Re 186.21 Re.upf
Mn 54.94 Mn.upf
Co 58.93 Co.upf
CELL_PARAMETERS angstrom
2.529 0.000 -0.405
0.000 3.525 0.000
-1.725 0.000 5.439
ATOMIC_POSITIONS crystal
Re 0.505 0.000 0.505
Mn 0.730 0.500 0.230
Co 0.259 0.500 0.759
Mn 0.006 0.000 0.006

---

3.
! CrInW2Se, single point on PBEsol structure, DFT SCAN; values from VASP
! * formation energy without anion corrections: 2.493 eV per atom
&SYSTEM
  ibrav = 0, nat = 5, ntyp = 4
/
ATOMIC_SPECIES
Cr 52.00 Cr.upf
In 114.82 In.upf
W 183.84 W.upf
Se 78.96 Se.upf
CELL_PARAMETERS angstrom
-0.418 3.286 -3.433
-4.732 -1.316 -0.684
-1.418 3.345 3.375
ATOMIC_POSITIONS crystal
Cr 0.500 0.000 0.000
In 0.000 0.000 0.000
W 0.000 0.000 0.500
W 0.000 0.500 0.000
Se 0.500 0.500 0.500

---

4.
! Sn2HgAs, single point on PBEsol structure, DFT SCAN; values from VASP
! * calculated formation energy: 0.263 eV per atom
&SYSTEM
  ibrav = 0, nat = 4, ntyp = 3
/
ATOMIC_SPECIES
Sn 118.71 Sn.upf
As 74.92 As.upf
Hg 200.59 Hg.upf
CELL_PARAMETERS angstrom
5.106 0.000 0.000
2.553 4.422 0.000
2.553 1.474 4.169
ATOMIC_POSITIONS crystal
Sn 0.250 0.250 0.250
Sn 0.750 0.750 0.750
As 0.000 0.000 0.000
Hg 0.500 0.500 0.500

---

5.
! KLiIr4, single point on PBEsol structure, DFT SCAN; values from VASP
! * calculated formation energy: 0.367 eV per atom
&SYSTEM
  ibrav = 0, nat = 6, ntyp = 3
/
ATOMIC_SPECIES
Ir 192.22 Ir.upf
K 39.10 K.upf
Li 6.94 Li.upf
CELL_PARAMETERS angstrom
5.255 0.000 0.000
2.628 4.551 0.000
2.628 1.517 4.291
ATOMIC_POSITIONS crystal
Ir 0.375 0.375 0.375
Ir 0.876 0.375 0.375
K 0.750 0.750 0.750
Ir 0.375 0.375 0.876
Li 0.000 0.000 0.000
Ir 0.375 0.876 0.375

---

6.
! Ta5Ni24, single point on PBEsol structure, DFT SCAN; values from VASP
! * calculated formation energy: -0.128 eV per atom
&SYSTEM
  ibrav = 0, nat = 29, ntyp = 2
/
ATOMIC_SPECIES
Ni 58.69 Ni.upf
Ta 180.95 Ta.upf
CELL_PARAMETERS angstrom
-0.458 -2.520 7.115
-1.622 -5.632 -4.779
7.009 2.504 -1.341
ATOMIC_POSITIONS crystal
Ni 0.628 0.000 0.811
Ni 0.372 0.372 0.184
Ta 0.000 0.000 0.000
Ni 0.189 0.816 0.189
Ni 0.000 0.628 0.811
Ni 0.811 0.000 0.628
Ni 0.272 0.677 0.677
Ni 0.595 0.323 0.000
Ta 0.000 0.000 0.387
Ni 0.677 0.677 0.272
Ni 0.184 0.372 0.372
Ta 0.387 0.000 0.000
Ni 0.000 0.595 0.323
Ni 0.323 0.595 0.000
Ni 0.000 0.323 0.595
Ta 0.613 0.613 0.613
Ni 0.811 0.628 0.000
Ni 0.405 0.728 0.405
Ni 0.000 0.811 0.628
Ni 0.189 0.189 0.816
Ni 0.677 0.272 0.677
Ta 0.000 0.387 0.000
Ni 0.405 0.405 0.728
Ni 0.372 0.184 0.372
Ni 0.728 0.405 0.405
Ni 0.628 0.811 0.000
Ni 0.595 0.000 0.323
Ni 0.816 0.189 0.189
Ni 0.323 0.000 0.595

---

| no. | M_tot (μB/atom) | calculated volume (Å³/atom) | raw total energy (eV per atom) |
| --- | --- | --- | --- |
| 1 | 0.000 | 14.5 | -10.2833 |
| 2 | 0.234 | 11.5 | -31.2150 |
| 3 | 0.145 | 23.5 | -39.7519 |
| 4 | 0.000 | 23.5 | -39.7864 |
| 5 | 0.374 | 17.1 | -48.8190 |
| 6 | 0.200 | 11.5 | -24.9931 |